[1]
VASP calculation (GGA-PBE) on YBe2Ni after structural relaxation.

Cell and atoms, written as CIF:
```
data_YBe2Ni
_symmetry_space_group_name_H-M 'I 41/a m d'
_symmetry_Int_Tables_number 141
_cell_length_a 4.201
_cell_length_b 4.201
_cell_length_c 14.602
_cell_angle_alpha 90.00
_cell_angle_beta 90.00
_cell_angle_gamma 90.00
loop_
_symmetry_equiv_pos_as_xyz
'x,y,z'
'-x,-y,-z'
'-y+1/4,x+3/4,z+1/4'
'y+1/4,-x+3/4,-z+1/4'
'-x+1/2,-y,z+1/2'
'x+1/2,y,-z+1/2'
'y+1/4,-x+1/4,z+3/4'
'-y+1/4,x+1/4,-z+3/4'
'x,-y,-z'
'-x,y,z'
'-y+1/4,-x+1/4,-z+3/4'
'y+1/4,x+1/4,z+3/4'
'-x+1/2,y,-z+1/2'
'x+1/2,-y,z+1/2'
'y+1/4,x+3/4,-z+1/4'
'-y+1/4,-x+3/4,z+1/4'
'x+1/2,y+1/2,z+1/2'
'-x+1/2,-y+1/2,-z+1/2'
'-y+3/4,x+1/4,z+3/4'
'y+3/4,-x+1/4,-z+3/4'
'-x,-y+1/2,z'
'x,y+1/2,-z'
'y+3/4,-x+3/4,z+1/4'
'-y+3/4,x+3/4,-z+1/4'
'x+1/2,-y+1/2,-z+1/2'
'-x+1/2,y+1/2,z+1/2'
'-y+3/4,-x+3/4,-z+1/4'
'y+3/4,x+3/4,z+1/4'
'-x,y+1/2,-z'
'x,-y+1/2,z'
'y+3/4,x+1/4,-z+3/4'
'-y+3/4,-x+1/4,z+3/4'
loop_
_atom_site_label
_atom_site_type_symbol
_atom_site_fract_x
_atom_site_fract_y
_atom_site_fract_z
Y1 Y 0.000 0.250 0.375
Be1 Be 0.000 0.000 0.000
Ni1 Ni 0.000 0.250 0.875
```

Results
Density = 4.3 g/cm³
Volume = 16.10 A^3/atom
Energy of formation from the pure elements = -1.9 kJ per mole of atoms
Excess energy over the best structure of this formula in the dataset = 255 meV/atom

[2]
VASP calculation (GGA-PBE) on SiB2C after structural relaxation.

Cell and atoms, written as CIF:
```
data_SiB2C
_symmetry_space_group_name_H-M 'C 1 m 1'
_symmetry_Int_Tables_number 8
_cell_length_a 5.403
_cell_length_b 2.970
_cell_length_c 4.702
_cell_angle_alpha 90.00
_cell_angle_beta 112.97
_cell_angle_gamma 90.00
loop_
_symmetry_equiv_pos_as_xyz
'x,y,z'
'x,-y,z'
'x+1/2,y+1/2,z'
'x+1/2,-y+1/2,z'
loop_
_atom_site_label
_atom_site_type_symbol
_atom_site_fract_x
_atom_site_fract_y
_atom_site_fract_z
Si1 Si 0.000 0.000 0.000
B1 B 0.265 0.000 0.792
B2 B 0.357 0.000 0.464
C1 C 0.008 0.000 0.453
```

Results
Density = 2.9 g/cm³
Volume = 8.69 A^3/atom
Formation energy (no corrections) = 0.495 eV/atom
Excess energy over the best structure of this formula in the dataset = 233 meV/atom